# 1
Material: Hf2Fe2H
Method: DFT, GGA-PBE
State: optimized geometry

Structure (CIF):
```
data_Hf2Fe2H
_cell_length_a 3.2683
_cell_length_b 3.2683
_cell_length_c 7.4715
_cell_angle_alpha 77.37
_cell_angle_beta 77.37
_cell_angle_gamma 90.00
_space_group_name_H-M_alt 'P 1'
_space_group_IT_number 1
_space_group_name_Hall 'P 1'
loop_
_atom_site_label
_atom_site_type_symbol
_atom_site_fract_x
_atom_site_fract_y
_atom_site_fract_z
Hf1 Hf 0.6021 0.6021 0.7958
Fe1 Fe 0.2500 0.7500 0.5000
Fe2 Fe 0.7500 0.2500 0.5000
H1 H 0.0000 0.0000 0.0000
Hf2 Hf 0.3979 0.3979 0.2042
```

DOS(E_F): 4.70 states/eV/f.u.
Energy above the most stable polymorph in this dataset: 0.172 eV per atom

# 2
Material: Hf2Fe2H
Method: DFT, GGA-PBE
State: optimized geometry

Structure (CIF):
```
data_Hf2Fe2H
_cell_length_a 5.7839
_cell_length_b 5.7839
_cell_length_c 4.1332
_cell_angle_alpha 90.00
_cell_angle_beta 90.00
_cell_angle_gamma 90.00
_space_group_name_H-M_alt 'P 1'
_space_group_IT_number 1
_space_group_name_Hall 'P 1'
loop_
_atom_site_label
_atom_site_type_symbol
_atom_site_fract_x
_atom_site_fract_y
_atom_site_fract_z
Hf1 Hf 0.1713 0.6713 0.5000
Hf2 Hf 0.3287 0.1713 0.5000
Fe1 Fe 0.3456 0.8456 0.0000
Fe2 Fe 0.6544 0.1544 0.0000
Hf3 Hf 0.6713 0.8287 0.5000
Fe3 Fe 0.1544 0.3456 0.0000
H1 H 0.0000 0.0000 0.0000
Fe4 Fe 0.8456 0.6544 0.0000
H2 H 0.5000 0.5000 0.0000
Hf4 Hf 0.8287 0.3287 0.5000
```

DOS(E_F): 4.10 states/eV/f.u.
Energy above the most stable polymorph in this dataset: 0.178 eV per atom

# 3
Material: Hf5Fe2H12
Method: DFT, GGA-PBE
State: optimized geometry

Structure (CIF):
```
data_Hf5Fe2H12
_cell_length_a 5.3353
_cell_length_b 5.4640
_cell_length_c 6.4475
_cell_angle_alpha 100.20
_cell_angle_beta 90.00
_cell_angle_gamma 119.22
_space_group_name_H-M_alt 'P 1'
_space_group_IT_number 1
_space_group_name_Hall 'P 1'
loop_
_atom_site_label
_atom_site_type_symbol
_atom_site_fract_x
_atom_site_fract_y
_atom_site_fract_z
Hf1 Hf 0.6513 0.3025 0.3711
H1 H 0.5195 0.6631 0.9021
Hf2 Hf 0.0000 0.0000 0.5000
Fe1 Fe 0.7597 0.0000 0.0000
H2 H 0.1436 0.6631 0.9021
H3 H 0.4805 0.3369 0.0979
Hf3 Hf 0.2688 0.5377 0.1514
H4 H 0.8564 0.3369 0.0979
H5 H 0.4093 0.3458 0.6067
H6 H 0.9351 0.8702 0.1241
H7 H 0.9366 0.3458 0.6067
Hf4 Hf 0.3487 0.6975 0.6289
H8 H 0.4764 0.9527 0.1449
H9 H 0.5907 0.6542 0.3933
H10 H 0.5236 0.0473 0.8551
Hf5 Hf 0.7312 0.4623 0.8486
H11 H 0.0634 0.6542 0.3933
Fe2 Fe 0.2403 0.0000 0.0000
H12 H 0.0649 0.1298 0.8759
```

DOS(E_F): 5.67 states/eV/f.u.
VASP energy: -5.9168 eV per atom

# 4
Material: HfFeH3
Method: DFT, GGA-PBE
State: optimized geometry

Structure (CIF):
```
data_HfFeH3
_cell_length_a 4.0456
_cell_length_b 4.1643
_cell_length_c 5.4095
_cell_angle_alpha 90.00
_cell_angle_beta 90.00
_cell_angle_gamma 116.22
_space_group_name_H-M_alt 'P 1'
_space_group_IT_number 1
_space_group_name_Hall 'P 1'
loop_
_atom_site_label
_atom_site_type_symbol
_atom_site_fract_x
_atom_site_fract_y
_atom_site_fract_z
Hf1 Hf 0.6589 0.3338 0.2500
Fe1 Fe 0.0000 0.0000 0.0000
H1 H 0.1464 0.8582 0.2500
H2 H 0.7880 0.5963 0.5767
H3 H 0.2120 0.4037 0.4233
H4 H 0.8536 0.1418 0.7500
H5 H 0.7880 0.5963 0.9233
Fe2 Fe 0.0000 0.0000 0.5000
Hf2 Hf 0.3411 0.6662 0.7500
H6 H 0.2120 0.4037 0.0767
```

DOS(E_F): 1.87 states/eV/f.u.
VASP energy: -5.9279 eV per atom

# 5
Material: HfFe3H3
Method: DFT, GGA-PBE
State: optimized geometry

Structure (CIF):
```
data_HfFe3H3
_cell_length_a 5.7414
_cell_length_b 5.7414
_cell_length_c 5.7415
_cell_angle_alpha 60.00
_cell_angle_beta 60.00
_cell_angle_gamma 60.00
_space_group_name_H-M_alt 'P 1'
_space_group_IT_number 1
_space_group_name_Hall 'P 1'
loop_
_atom_site_label
_atom_site_type_symbol
_atom_site_fract_x
_atom_site_fract_y
_atom_site_fract_z
H1 H 0.3818 0.6182 0.3818
Fe1 Fe 0.2004 0.2004 0.7996
Fe2 Fe 0.7996 0.7996 0.2004
H2 H 0.3818 0.6182 0.6182
Hf1 Hf 0.7500 0.7500 0.7500
Fe3 Fe 0.7996 0.2004 0.2004
H3 H 0.6182 0.3818 0.3818
H4 H 0.3818 0.3818 0.6182
H5 H 0.6182 0.3818 0.6182
Fe4 Fe 0.7996 0.2004 0.7996
Fe5 Fe 0.2004 0.7996 0.7996
H6 H 0.6182 0.6182 0.3818
Hf2 Hf 0.2500 0.2500 0.2500
Fe6 Fe 0.2004 0.7996 0.2004
```

DOS(E_F): 7.03 states/eV/f.u.
VASP energy: -5.8946 eV per atom

# 6
Material: HfFeH3
Method: DFT, GGA-PBE
State: optimized geometry

Structure (CIF):
```
data_HfFeH3
_cell_length_a 3.6718
_cell_length_b 3.6718
_cell_length_c 3.6718
_cell_angle_alpha 90.00
_cell_angle_beta 90.00
_cell_angle_gamma 90.00
_space_group_name_H-M_alt 'P 1'
_space_group_IT_number 1
_space_group_name_Hall 'P 1'
loop_
_atom_site_label
_atom_site_type_symbol
_atom_site_fract_x
_atom_site_fract_y
_atom_site_fract_z
H1 H 0.0000 0.5000 0.0000
Hf1 Hf 0.0000 0.0000 0.0000
H2 H 0.5000 0.0000 0.0000
Fe1 Fe 0.5000 0.5000 0.5000
H3 H 0.0000 0.0000 0.5000
```

DOS(E_F): 2.57 states/eV/f.u.
VASP energy: -5.4146 eV per atom

# 7
Material: HfFeH3
Method: DFT, GGA-PBE
State: optimized geometry

Structure (CIF):
```
data_HfFeH3
_cell_length_a 3.3469
_cell_length_b 3.3469
_cell_length_c 3.3469
_cell_angle_alpha 90.00
_cell_angle_beta 90.00
_cell_angle_gamma 90.00
_space_group_name_H-M_alt 'P 1'
_space_group_IT_number 1
_space_group_name_Hall 'P 1'
loop_
_atom_site_label
_atom_site_type_symbol
_atom_site_fract_x
_atom_site_fract_y
_atom_site_fract_z
H1 H 0.5000 0.0000 0.0000
H2 H 0.0000 0.0000 0.5000
Fe1 Fe 0.0000 0.0000 0.0000
H3 H 0.0000 0.5000 0.0000
Hf1 Hf 0.5000 0.5000 0.5000
```

DOS(E_F): 3.47 states/eV/f.u.
VASP energy: -5.8941 eV per atom

# 8
Material: Hf4FeH
Method: DFT, GGA-PBE
State: optimized geometry

Structure (CIF):
```
data_Hf4FeH
_cell_length_a 5.7248
_cell_length_b 5.7207
_cell_length_c 7.5510
_cell_angle_alpha 112.23
_cell_angle_beta 112.25
_cell_angle_gamma 90.06
_space_group_name_H-M_alt 'P 1'
_space_group_IT_number 1
_space_group_name_Hall 'P 1'
loop_
_atom_site_label
_atom_site_type_symbol
_atom_site_fract_x
_atom_site_fract_y
_atom_site_fract_z
Hf1 Hf 0.6533 0.7814 0.0971
Hf2 Hf 0.0561 0.6843 0.9029
Hf3 Hf 0.6840 0.3468 0.4026
Hf4 Hf 0.9439 0.3157 0.0971
Hf5 Hf 0.3160 0.6532 0.5974
Hf6 Hf 0.3467 0.2186 0.9029
H1 H 0.8752 0.1252 0.2503
Fe1 Fe 0.6249 0.3749 0.7497
Hf7 Hf 0.7814 0.9442 0.5974
Hf8 Hf 0.2186 0.0558 0.4026
H2 H 0.1248 0.8748 0.7497
Fe2 Fe 0.3751 0.6251 0.2503
```

DOS(E_F): 5.86 states/eV/f.u.
VASP energy: -8.7405 eV per atom